[1]
BaCuSi | GGA-PBE | optimized geometry

Computed properties:
Theoretical density in g cm⁻³: 3.91
E in eV/atom: -2.978
Magnetic moment in μB per formula unit: 0.01

The structure in CIF format:
```
data_BaCuSi
_chemical_formula_sum 'Ba4 Cu4 Si4'
_cell_length_a 7.301
_cell_length_b 7.301
_cell_length_c 7.301
_cell_angle_alpha 90.00
_cell_angle_beta 90.00
_cell_angle_gamma 90.00
_symmetry_space_group_name_H-M 'F -4 3 m'
_symmetry_Int_Tables_number 216
_symmetry_space_group_name_Hall 'F -4 2 3'
loop_
_atom_site_label
_atom_site_fract_x
_atom_site_fract_y
_atom_site_fract_z
Ba1 0.000 0.000 0.000
Cu1 0.250 0.250 0.250
Si1 0.250 0.250 0.750
```

[2]
Ge2As3 | GGA-PBE | optimized geometry

Computed properties:
Theoretical density in g cm⁻³: 5.39
E in eV/atom: -4.348
ΔH_f (0 K) in eV/atom: 0.29
Magnetic moment in μB per formula unit: 0.00
Excess energy over the best structure of this formula in the dataset in meV per atom: 201.3

The structure in CIF format:
```
data_Ge2As3
_chemical_formula_sum 'Ge12 As18'
_cell_length_a 6.4362
_cell_length_b 6.4362
_cell_length_c 19.0774
_cell_angle_alpha 90.00
_cell_angle_beta 90.00
_cell_angle_gamma 120.00
_symmetry_space_group_name_H-M 'R -3 c'
_symmetry_Int_Tables_number 167
_symmetry_space_group_name_Hall '-R 3 2"c'
loop_
_atom_site_label
_atom_site_fract_x
_atom_site_fract_y
_atom_site_fract_z
Ge1 0.0000 0.0000 0.1394
As1 0.0000 0.2669 0.2500
```

[3]
SrCu4As | GGA-PBE | optimized geometry

Computed properties:
Theoretical density in g cm⁻³: 6.93
E in eV/atom: -3.853
ΔH_f (0 K) in eV/atom: -0.07
Magnetic moment in μB per formula unit: 0.00

The structure in CIF format:
```
data_SrCu4As
_chemical_formula_sum 'Sr4 Cu16 As4'
_cell_length_a 7.363
_cell_length_b 7.363
_cell_length_c 7.363
_cell_angle_alpha 90.00
_cell_angle_beta 90.00
_cell_angle_gamma 90.00
_symmetry_space_group_name_H-M 'F -4 3 m'
_symmetry_Int_Tables_number 216
_symmetry_space_group_name_Hall 'F -4 2 3'
loop_
_atom_site_label
_atom_site_fract_x
_atom_site_fract_y
_atom_site_fract_z
Sr1 0.000 0.000 0.000
Cu1 0.125 0.125 0.375
As1 0.250 0.250 0.750
```

- Number 1 is which compound?
  BaCuSi